PBE CsCu4Te5, optimized geometry; total energy = -3.474 eV per atom; space group = No. 59; theoretical density = 6.057 g cm⁻³; ΔE_f (raw) = -179 meV/atom
1.0
-5.694 -0.592 -1.362
-1.668 -1.627 7.680
-1.705 11.593 2.085
Cu Cs Te
8 2 10
Direct
0.942 0.500 0.207
0.058 0.000 0.293
0.609 0.832 0.500
0.058 0.000 0.707
0.609 0.168 0.500
0.391 0.332 0.000
0.391 0.668 0.000
0.942 0.500 0.793
0.189 0.500 0.500
0.811 0.000 0.000
0.766 0.500 0.000
0.267 0.258 0.802
0.267 0.742 0.198
0.733 0.242 0.698
0.733 0.242 0.302
0.733 0.758 0.302
0.234 0.000 0.500
0.267 0.258 0.198
0.733 0.758 0.698
0.267 0.742 0.802